No. 1
Compound: Hf2ZrNiAs4Pd3
Source: OQMD via LeMat-Bulk
Functional: PBE
Structure: relaxed

Geometry as extended XYZ:
```
11
Lattice="-0.776 -6.053 -2.372 -0.563 -1.349 3.628 -7.489 1.304 -0.678" Properties=species:S:1:pos:R:3 pbc="T T T"
Ni -4.796 -4.452 -2.400
Pd -7.353 -1.029 -1.524
Pd -3.713 -0.972 1.170
Pd -1.285 -4.520 0.228
Hf -2.094 -5.594 -2.406
Hf -2.752 -2.374 -1.310
As -1.354 -1.953 1.172
As -4.930 -0.608 -0.991
As -3.775 -4.726 -0.235
As -7.059 -3.662 -2.458
Zr -5.878 -3.012 0.076
```

Values from the calculation:
Its space group is No. 6. For the total DFT energy (no corrections), the calculation gives -6.988 eV per atom.

---

No. 2
Compound: Hf2ZrNiAs4Pd3
Source: OQMD via LeMat-Bulk
Functional: PBE
Structure: relaxed

Geometry as extended XYZ:
```
11
Lattice="6.586 0.000 0.000 0.000 3.912 0.000 -0.004 0.000 7.649" Properties=species:S:1:pos:R:3 pbc="T T T"
Hf 3.547 1.956 2.383
Hf 0.218 1.956 1.405
As 4.932 1.956 4.828
As 4.978 0.000 0.893
As 1.671 0.000 2.775
As 1.512 1.956 6.795
Pd 0.956 1.956 4.334
Pd 5.586 0.000 3.381
Pd 4.102 1.956 7.216
Zr 3.030 0.000 5.277
Ni 2.393 0.000 0.466
```

Values from the calculation:
Its space group is No. 6. For the total DFT energy (no corrections), the calculation gives -6.992 eV per atom.

---

No. 3
Compound: Hf2ZrNiAs4Pd3
Source: OQMD via LeMat-Bulk
Functional: PBE
Structure: relaxed

Geometry as extended XYZ:
```
11
Lattice="-3.498 -0.687 -5.569 0.349 -3.889 0.260 -6.400 -0.301 4.072" Properties=species:S:1:pos:R:3 pbc="T T T"
Pd -5.777 -0.714 -2.920
Pd -1.670 -0.271 -1.814
Pd -3.936 -2.212 1.641
As -3.268 -0.284 0.144
As -6.252 -2.366 2.443
As -3.286 -0.552 -3.840
As -6.569 -2.652 -1.405
Hf -1.086 -2.019 0.705
Hf -6.078 -0.530 0.232
Zr -3.740 -2.411 -1.593
Ni -8.047 -2.658 0.494
```

Values from the calculation:
Its space group is No. 6. For the total DFT energy (no corrections), the calculation gives -6.993 eV per atom.

---

No. 4
Compound: Hf2ZrNiAs4Pd3
Source: OQMD via LeMat-Bulk
Functional: PBE
Structure: relaxed

Geometry as extended XYZ:
```
11
Lattice="6.581 0.000 0.000 0.000 3.890 0.000 -0.153 0.000 7.700" Properties=species:S:1:pos:R:3 pbc="T T T"
Pd 4.184 0.000 0.456
Pd 2.242 1.945 7.168
Pd 5.547 1.945 4.374
Hf 3.401 0.000 5.298
Hf 2.988 1.945 2.430
As 4.926 0.000 2.902
As 1.520 1.945 4.730
As 1.577 0.000 1.024
As 4.985 1.945 6.771
Zr 6.334 1.945 1.447
Ni 0.980 0.000 3.417
```

Values from the calculation:
Its space group is No. 6. For the total DFT energy (no corrections), the calculation gives -6.993 eV per atom.

---

Question: Which value of total DFT energy (no corrections) does entry 3 give?
Answer: -6.993 eV per atom